# 1
## LiLaNpTe3 (PBE)

Data for a relaxed LiLaNpTe3 crystal.

Properties
SG ... P2_1/m
Energy ... -71.1 eV for the cell shown
E_form (uncorrected) ... -1.058 eV/atom

Cell lengths 9.0721, 4.3608, 9.6754 Å; angles 90.00, 104.31, 90.00 degrees
Fractional positions:
Li1 0.0879 0.2500 0.0862
Li2 0.9121 0.7500 0.9138
La1 0.1855 0.2500 0.7333
La2 0.8145 0.7500 0.2667
Np1 0.3343 0.7500 0.3458
Np2 0.6657 0.2500 0.6542
Te1 0.0940 0.2500 0.3719
Te2 0.2292 0.7500 0.0035
Te3 0.4313 0.7500 0.6804
Te4 0.5687 0.2500 0.3196
Te5 0.7708 0.2500 0.9965
Te6 0.9060 0.7500 0.6281


# 2
## CeSm3Dy6Tm2 (PBE)

Data for a relaxed CeSm3Dy6Tm2 crystal.

Properties
ΔE_f ... 35 meV per atom
SG ... C2/m
Energy ... -56.2 eV for the cell shown

Cell lengths 6.1569, 6.1569, 11.7815 Å; angles 95.00, 95.00, 119.98 degrees
Fractional positions:
Ce1 0.0000 0.0000 0.0000
Sm1 0.1675 0.8325 0.5000
Sm2 0.5000 0.5000 0.5000
Sm3 0.8325 0.1675 0.5000
Dy1 0.0827 0.4141 0.2469
Dy2 0.2490 0.2490 0.7530
Dy3 0.4141 0.0827 0.2469
Dy4 0.5859 0.9173 0.7531
Dy5 0.7510 0.7510 0.2470
Dy6 0.9173 0.5859 0.7531
Tm1 0.3333 0.6667 0.0000
Tm2 0.6667 0.3333 0.0000


# 3
## K2SrCo (PBE)

Data for a relaxed K2SrCo crystal.

Properties
ΔE_f ... 552 meV per atom
Polymorph energy (0 for the lowest one) ... 22 meV/atom
SG ... Immm
Energy ... -17.5 eV for the cell shown

Cell lengths 3.7791, 4.7848, 20.2571 Å; angles 90.00, 90.00, 90.00 degrees
Fractional positions:
K1 0.0000 0.0000 0.1573
K2 0.0000 0.0000 0.8427
K3 0.5000 0.5000 0.3427
K4 0.5000 0.5000 0.6573
Sr1 0.0000 0.5000 0.0000
Sr2 0.5000 0.0000 0.5000
Co1 0.0000 0.5000 0.5000
Co2 0.5000 0.0000 0.0000